Below is crystalline DyWO4 at its relaxed geometry, with properties calculated at the PBE+U level.

## Properties
Theoretical density ... 8.35 g/cm3
Total energy ... -7.9895 eV per atom
SG ... Cmmm
Total magnetization ... 0.17 μB/atom
Crystal system ... orthorhombic

Cell lengths 3.335, 4.947, 4.947 Å; angles 88.19, 90.00, 90.00 degrees
Each line ends with the local moment (μB).
Element x y z (fractional)
Dy1 0.000 0.500 0.500  0.01
W1 0.500 0.000 0.000  1.02
O1 0.500 0.281 0.719  -0.02
O2 0.000 0.822 0.822  0.01
O3 0.000 0.178 0.178  0.01
O4 0.500 0.719 0.281  -0.02